This record from Alexandria describes an optimized crystal structure of In2GeOs. The functional is PBE-GGA.

```
data_In2GeOs
_chemical_formula_sum 'In16 Ge8 Os8'
_cell_length_a 8.4061
_cell_length_b 14.1327
_cell_length_c 5.1994
_cell_angle_alpha 90.00
_cell_angle_beta 90.00
_cell_angle_gamma 90.00
_symmetry_space_group_name_H-M 'P 1'
_symmetry_Int_Tables_number 1
_symmetry_space_group_name_Hall 'P 1'
loop_
_atom_site_label
_atom_site_fract_x
_atom_site_fract_y
_atom_site_fract_z
_atom_site_occupancy
In1 0.0000 0.8898 0.5000 1
In2 0.5000 0.6102 0.5000 1
In3 0.6698 0.5000 0.0000 1
In4 0.0000 0.1102 0.5000 1
In5 0.0000 0.6102 0.0000 1
In6 0.3302 0.0000 0.5000 1
In7 0.5000 0.3898 0.5000 1
In8 0.5000 0.8898 0.0000 1
In9 0.1698 0.5000 0.5000 1
In10 0.0000 0.3898 0.0000 1
In11 0.5000 0.1102 0.0000 1
In12 0.8302 0.5000 0.5000 1
In13 0.6698 0.0000 0.5000 1
In14 0.8302 0.0000 0.0000 1
In15 0.3302 0.5000 0.0000 1
In16 0.1698 0.0000 0.0000 1
Os1 0.0000 0.3192 0.5000 1
Os2 0.0000 0.8192 0.0000 1
Os3 0.0000 0.6808 0.5000 1
Os4 0.5000 0.3192 0.0000 1
Os5 0.0000 0.1808 0.0000 1
Os6 0.5000 0.1808 0.5000 1
Os7 0.5000 0.6808 0.0000 1
Os8 0.5000 0.8192 0.5000 1
Ge1 0.2500 0.2500 0.7500 1
Ge2 0.7500 0.2500 0.2500 1
Ge3 0.2500 0.7500 0.7500 1
Ge4 0.7500 0.7500 0.2500 1
Ge5 0.2500 0.2500 0.2500 1
Ge6 0.2500 0.7500 0.2500 1
Ge7 0.7500 0.2500 0.7500 1
Ge8 0.7500 0.7500 0.7500 1
```

Computed properties:
Symmetry: Fmmm (69)
Calculated formation energy (meV per atom): 151.0
Mass density (g/cm³): 10.59
Total moment (μB/f.u.): 0.000



This record from Alexandria describes an optimized crystal structure of Nd8Ge3HSe4. The functional is PBE-GGA.

```
data_Nd8Ge3HSe4
_chemical_formula_sum 'Nd8 Ge3 H1 Se4'
_cell_length_a 8.4551
_cell_length_b 8.4906
_cell_length_c 8.4559
_cell_angle_alpha 119.86
_cell_angle_beta 120.00
_cell_angle_gamma 90.00
_symmetry_space_group_name_H-M 'P 1'
_symmetry_Int_Tables_number 1
_symmetry_space_group_name_Hall 'P 1'
loop_
_atom_site_label
_atom_site_fract_x
_atom_site_fract_y
_atom_site_fract_z
_atom_site_occupancy
Ge1 0.0000 0.5000 0.5000 1
Ge2 0.5000 0.5000 0.5000 1
Ge3 0.5000 0.5000 0.0000 1
Se1 0.5000 0.0000 0.5000 1
Se2 0.5000 0.0000 0.0000 1
Se3 0.0000 0.0000 0.0000 1
Se4 0.0000 0.0000 0.5000 1
Nd1 0.7496 0.2568 0.4992 1
Nd2 0.7474 0.7423 0.4949 1
Nd3 0.7426 0.7430 0.9928 1
Nd4 0.7498 0.2570 0.0072 1
Nd5 0.2526 0.2577 0.5051 1
Nd6 0.2504 0.7432 0.5008 1
Nd7 0.2502 0.7430 0.9928 1
Nd8 0.2574 0.2570 0.0072 1
H1 0.0000 0.5000 0.0000 1
```

Computed properties:
Symmetry: R-3m (166)
Mass density (g/cm³): 6.52
Total energy (eV/atom): -5.635
Total moment (μB/f.u.): 0.000



This record from Alexandria describes an optimized crystal structure of La8SiSe6. The functional is PBE-GGA.

```
data_La8SiSe6
_chemical_formula_sum 'La8 Si1 Se6'
_cell_length_a 4.3544
_cell_length_b 10.8907
_cell_length_c 10.8907
_cell_angle_alpha 120.00
_cell_angle_beta 90.00
_cell_angle_gamma 90.00
_symmetry_space_group_name_H-M 'P 1'
_symmetry_Int_Tables_number 1
_symmetry_space_group_name_Hall 'P 1'
loop_
_atom_site_label
_atom_site_fract_x
_atom_site_fract_y
_atom_site_fract_z
_atom_site_occupancy
La1 0.7494 0.3333 0.6667 1
La2 0.2506 0.6667 0.3333 1
La3 0.7453 0.9664 0.2783 1
La4 0.7453 0.3119 0.0336 1
La5 0.2547 0.2783 0.3119 1
La6 0.7453 0.7217 0.6881 1
La7 0.2547 0.6881 0.9664 1
La8 0.2547 0.0336 0.7217 1
Se1 0.7501 0.8718 0.5178 1
Se2 0.2499 0.3540 0.8718 1
Se3 0.2499 0.1282 0.4822 1
Se4 0.7501 0.4822 0.3540 1
Se5 0.7501 0.6460 0.1282 1
Se6 0.2499 0.5178 0.6460 1
Si1 0.5000 0.0000 0.0000 1
```

Computed properties:
Energy relative to the elements, uncorrected (eV per atom): -1.425
Symmetry: P-3 (147)
Mass density (g/cm³): 5.99
Total moment (μB/f.u.): 0.022



This record from Alexandria describes an optimized crystal structure of La2Br2O. The functional is PBE-GGA.

```
data_La2Br2O
_chemical_formula_sum 'La2 Br2 O1'
_cell_length_a 4.4951
_cell_length_b 4.4951
_cell_length_c 14.0009
_cell_angle_alpha 90.00
_cell_angle_beta 90.00
_cell_angle_gamma 90.00
_symmetry_space_group_name_H-M 'P 1'
_symmetry_Int_Tables_number 1
_symmetry_space_group_name_Hall 'P 1'
loop_
_atom_site_label
_atom_site_fract_x
_atom_site_fract_y
_atom_site_fract_z
_atom_site_occupancy
La1 0.5000 0.5000 0.1515 1
La2 0.5000 0.5000 0.8485 1
Br1 0.5000 0.5000 0.3468 1
Br2 0.5000 0.5000 0.6532 1
O1 0.5000 0.5000 0.0000 1
```

Computed properties:
Distance to the lowest polymorph of the same formula (eV/atom): 0.785
Energy relative to the elements, uncorrected (eV per atom): -1.349
Symmetry: P4/mmm (123)
Mass density (g/cm³): 2.66
Total moment (μB/f.u.): 0.003



This record from Alexandria describes an optimized crystal structure of Rb3PdC. The functional is PBE-GGA.

```
data_Rb3PdC
_chemical_formula_sum 'Rb3 Pd1 C1'
_cell_length_a 6.4070
_cell_length_b 6.4070
_cell_length_c 6.4070
_cell_angle_alpha 90.00
_cell_angle_beta 90.00
_cell_angle_gamma 90.00
_symmetry_space_group_name_H-M 'P 1'
_symmetry_Int_Tables_number 1
_symmetry_space_group_name_Hall 'P 1'
loop_
_atom_site_label
_atom_site_fract_x
_atom_site_fract_y
_atom_site_fract_z
_atom_site_occupancy
Pd1 0.0000 0.0000 0.0000 1
Rb1 0.5000 0.0000 0.0000 1
Rb2 0.0000 0.5000 0.0000 1
Rb3 0.0000 0.0000 0.5000 1
C1 0.5000 0.5000 0.5000 1
```

Computed properties:
Distance to the lowest polymorph of the same formula (eV/atom): 0.000
Symmetry: Pm-3m (221)
Calculated formation energy (meV per atom): 1167.4
Mass density (g/cm³): 2.37
Total moment (μB/f.u.): 3.000



This record from Alexandria describes an optimized crystal structure of SmY4P5. The functional is PBE-GGA.

```
data_SmY4P5
_chemical_formula_sum 'Sm1 Y4 P5'
_cell_length_a 4.0345
_cell_length_b 5.7030
_cell_length_c 10.6669
_cell_angle_alpha 105.51
_cell_angle_beta 100.90
_cell_angle_gamma 90.00
_symmetry_space_group_name_H-M 'P 1'
_symmetry_Int_Tables_number 1
_symmetry_space_group_name_Hall 'P 1'
loop_
_atom_site_label
_atom_site_fract_x
_atom_site_fract_y
_atom_site_fract_z
_atom_site_occupancy
P1 0.6021 0.1021 0.2041 1
P2 0.8002 0.3002 0.6004 1
P3 0.1998 0.6998 0.3996 1
P4 0.3979 0.8979 0.7959 1
P5 0.0000 0.5000 0.0000 1
Sm1 0.0000 0.0000 0.0000 1
Y1 0.2009 0.2009 0.4019 1
Y2 0.6005 0.6005 0.2010 1
Y3 0.3995 0.3995 0.7990 1
Y4 0.7991 0.7991 0.5981 1
```

Computed properties:
Symmetry: Immm (71)
Calculated formation energy (meV per atom): -1614.9
Mass density (g/cm³): 4.73
Total moment (μB/f.u.): 0.000